The following is a PBE-GGA calculation of crystalline Zn2SiAg at its relaxed geometry, from OQMD.

- Raw total energy: -2.41 eV/atom
- Calculated volume: 65.59 Å³/f.u.

a b c (Å): 6.402 6.402 6.402
angles (deg): 90.00 90.00 90.00
Space group F-43m (No. 216)
Asymmetric unit:
Zn 0.000 0.000 0.000 x4
Zn 0.250 0.250 0.250 x4
Si 0.000 0.000 0.500 x4
Ag 0.250 0.250 0.750 x4